BaNa2SiBi (GGA-PBEsol, relaxed); raw formation energy = 1.1119 eV/atom; space-group type = P4/mmm
1.0
6.056 0.000 0.000
0.000 6.056 0.000
0.000 0.000 6.199
Ba Si Na Bi
1 1 2 1
direct
0.000 0.000 0.000
0.500 0.500 0.500
0.000 0.500 0.000
0.500 0.000 0.000
0.000 0.000 0.500

BaNb3Bi (GGA-PBEsol, relaxed); space-group type = Pm-3m; energy relative to the elements = 1.60 eV per atom
1.0
5.281 0.000 0.000
0.000 5.281 0.000
0.000 0.000 5.281
Bi Nb Ba
1 3 1
direct
0.000 0.000 0.000
0.000 0.500 0.000
0.000 0.000 0.500
0.500 0.000 0.000
0.500 0.500 0.500

BaNbRe2Bi (GGA-PBEsol, relaxed); space-group type = P4/mmm; energy relative to the elements = 1.67 eV per atom
1.0
-2.014 -3.208 -2.953
4.232 -2.222 -0.471
-1.242 -3.307 4.440
Bi Re Ba Nb
1 2 1 1
direct
0.500 0.500 0.500
0.000 0.500 0.000
0.500 0.000 0.000
0.000 0.000 0.500
0.000 0.000 0.000